VASP calculation (SCAN) on a crystal of RbScSe3 relaxed with PBEsol.

```
data_RbScSe3
_cell_length_a 5.4019
_cell_length_b 5.4019
_cell_length_c 5.4019
_cell_angle_alpha 90.00
_cell_angle_beta 90.00
_cell_angle_gamma 90.00
_symmetry_space_group_name_H-M 'P m -3 m'
_symmetry_Int_Tables_number 221
_symmetry_space_group_name_Hall '-P 4 2 3'
loop_
_atom_site_label
_atom_site_fract_x
_atom_site_fract_y
_atom_site_fract_z
_atom_site_occupancy
Rb1 0.0000 0.0000 0.0000 1
Sc1 0.5000 0.5000 0.5000 1
Se1 0.0000 0.0000 0.5000 1
```

Values from the calculation:
Uncorrected energy, eV for the cell shown: -91.65
Uncorrected formation energy, kJ per mole of atoms: 69